A plane-wave DFT calculation with PBE was carried out for a relaxed structure of Ti6VRh5.

Output
* calculated formation energy: -8.2 eV per formula unit
* energy: -8.455 eV per atom
* N(E_F): 0.68 states/eV per atom

abc: 6.861 6.861 6.313
angles: 90.00 90.00 143.11
Element x y z (fractional)
Ti  0.000  0.000  0.244
Ti  0.000  0.000  0.756
Ti  0.336  0.664  0.246
Ti  0.336  0.664  0.754
Ti  0.664  0.336  0.246
Ti  0.664  0.336  0.754
V  0.500  0.500  0.000
Rh  0.167  0.833  0.500
Rh  0.168  0.832  0.000
Rh  0.500  0.500  0.500
Rh  0.832  0.168  0.000
Rh  0.833  0.167  0.500


A plane-wave DFT calculation with PBE was carried out for a relaxed structure of Ti4VRh.

Output
* calculated formation energy: 1.2 eV per formula unit
* energy: -7.813 eV per atom
* N(E_F): 1.65 states/eV per atom

abc: 4.242 4.242 6.034
angles: 90.00 90.00 90.00
Element x y z (fractional)
Ti  0.000  0.500  0.241
Ti  0.000  0.500  0.759
Ti  0.500  0.000  0.241
Ti  0.500  0.000  0.759
V  0.000  0.000  0.000
Rh  0.500  0.500  0.500


A plane-wave DFT calculation with PBE was carried out for a relaxed structure of Ti6VRh12.

Output
* calculated formation energy: -9.6 eV per formula unit
* energy: -8.123 eV per atom
* N(E_F): 0.90 states/eV per atom

abc: 6.605 6.605 6.605
angles: 91.03 91.03 91.03
Element x y z (fractional)
Ti  0.199  0.381  0.781
Ti  0.219  0.801  0.619
Ti  0.381  0.781  0.199
Ti  0.619  0.219  0.801
Ti  0.781  0.199  0.381
Ti  0.801  0.619  0.219
V  0.500  0.500  0.500
Rh  0.050  0.940  0.294
Rh  0.060  0.706  0.950
Rh  0.154  0.494  0.363
Rh  0.294  0.050  0.940
Rh  0.363  0.154  0.494
Rh  0.494  0.363  0.154
Rh  0.506  0.637  0.846
Rh  0.637  0.846  0.506
Rh  0.706  0.950  0.060
Rh  0.846  0.506  0.637
Rh  0.940  0.294  0.050
Rh  0.950  0.060  0.706


A plane-wave DFT calculation with PBE was carried out for a relaxed structure of TiVRh2.

Output
* calculated formation energy: -2.1 eV per formula unit
* energy above the lowest structure with this stoichiometry: 0.013 eV per atom
* energy: -8.445 eV per atom
* N(E_F): 1.25 states/eV per atom

abc: 4.360 2.833 9.340
angles: 90.00 90.00 90.00
Element x y z (fractional)
Ti  0.250  0.000  0.111
Ti  0.750  0.000  0.889
V  0.250  0.000  0.597
V  0.750  0.000  0.403
Rh  0.250  0.500  0.352
Rh  0.250  0.500  0.848
Rh  0.750  0.500  0.152
Rh  0.750  0.500  0.648


A plane-wave DFT calculation with PBE was carried out for a relaxed structure of Ti6VRh.

Output
* calculated formation energy: -0.2 eV per formula unit
* energy: -8.005 eV per atom
* N(E_F): 1.14 states/eV per atom

abc: 5.292 5.292 5.448
angles: 90.13 90.13 120.38
Element x y z (fractional)
Ti  0.070  0.070  0.247
Ti  0.094  0.516  0.753
Ti  0.484  0.906  0.247
Ti  0.516  0.094  0.753
Ti  0.906  0.484  0.247
Ti  0.930  0.930  0.753
V  0.500  0.500  0.000
Rh  0.500  0.500  0.500


A plane-wave DFT calculation with PBE was carried out for a relaxed structure of TiVRh6.

Output
* calculated formation energy: 0.1 eV per formula unit
* energy above the lowest structure with this stoichiometry: 0.524 eV per atom
* energy: -7.628 eV per atom
* N(E_F): 1.51 states/eV per atom

abc: 4.580 4.580 6.997
angles: 108.09 108.09 70.84
Element x y z (fractional)
Ti  0.000  0.000  0.000
V  0.500  0.500  0.500
Rh  0.037  0.559  0.203
Rh  0.143  0.143  0.434
Rh  0.441  0.963  0.797
Rh  0.559  0.037  0.203
Rh  0.857  0.857  0.566
Rh  0.963  0.441  0.797